First-principles (PBE) data for ZrTaHg2 after structural relaxation, as listed in the Alexandria database.

formation energy from the elements: 0.19 eV/atom
density of states at the Fermi level: 0.6634 states/eV per atom
energy above the lowest structure with this stoichiometry: 0.090 eV/atom
size of the total moment: 0.00 μB per cell

Unit cell a=3.0663 b=4.9820 c=5.3285 alpha=90.00 beta=91.80 gamma=90.00
Space group Pm (No. 6)
Symmetry-distinct sites (fractional):
Zr 0.0000 0.0000 0.0000 [1 per cell]
Ta 0.0976 0.5000 0.6742 [1 per cell]
Hg 0.5247 0.0000 0.5093 [1 per cell]
Hg 0.5466 0.5000 0.1744 [1 per cell]